Here is HfMnI2O after structural relaxation from Alexandria via LeMat-Bulk. Energies are from PBE+U.

Geometry as CIF:
```
data_HfMnI2O
_space_group_name_H-M_alt 'P 4/m m m'
_space_group_IT_number 123
_space_group_name_Hall '-P 4 2'
_cell_length_a 5.7456
_cell_length_b 5.7456
_cell_length_c 3.6734
_cell_angle_alpha 90.00
_cell_angle_beta 90.00
_cell_angle_gamma 90.00
loop_
_atom_site_label
_atom_site_type_symbol
_atom_site_fract_x
_atom_site_fract_y
_atom_site_fract_z
Hf1 Hf 0.0000 0.0000 0.0000
Mn1 Mn 0.5000 0.5000 0.5000
I1 I 0.0000 0.5000 0.5000
O1 O 0.5000 0.5000 0.0000
```

Output
V ... 121 Å³/cell
ρ ... 6.9 g/cm³
Distance to the lowest polymorph of the same formula ... 66.3 kJ per mole of atoms
Calculated total energy ... -5.2333 eV per atom